Entry 1:
## Li2RuW (GGA-PBEsol)

Data for crystalline Li2RuW at its relaxed geometry.

Output
energy of formation = 0.684 eV per atom

extended XYZ file:
```
4
Lattice="3.177 0.000 0.000 0.000 3.177 0.000 0.000 0.000 4.960" Properties=species:S:1:pos:R:3 pbc="T T T"
Li 0.000 0.000 1.136
Li 0.000 0.000 3.825
Ru 1.588 1.588 0.000
W 1.588 1.588 2.480
```

***

Entry 2:
## LiYRu (GGA-PBEsol)

Data for crystalline LiYRu at its relaxed geometry.

Output
energy of formation = 0.451 eV per atom

extended XYZ file:
```
12
Lattice="5.986 0.000 0.000 0.000 5.986 0.000 0.000 0.000 5.986" Properties=species:S:1:pos:R:3 pbc="T T T"
Li 0.000 0.000 0.000
Li 0.000 2.993 2.993
Li 2.993 0.000 2.993
Li 2.993 2.993 0.000
Y 1.496 1.496 1.496
Y 1.496 4.489 4.489
Y 4.489 1.496 4.489
Y 4.489 4.489 1.496
Ru 1.496 1.496 4.489
Ru 1.496 4.489 1.496
Ru 4.489 1.496 1.496
Ru 4.489 4.489 4.489
```

***

Entry 3:
## Li2YRu (GGA-PBEsol)

Data for crystalline Li2YRu at its relaxed geometry.

Output
energy of formation = 0.539 eV per atom

extended XYZ file:
```
8
Lattice="3.004 0.000 0.000 0.000 4.694 0.000 0.000 0.000 10.075" Properties=species:S:1:pos:R:3 pbc="T T T"
Li 0.000 0.000 2.117
Li 0.000 0.000 7.958
Li 1.502 2.347 2.117
Li 1.502 2.347 7.958
Y 0.000 2.347 5.038
Y 1.502 0.000 5.038
Ru 0.000 2.347 0.000
Ru 1.502 0.000 0.000
```

***

Entry 4:
## Li2YRu (GGA-PBEsol)

Data for crystalline Li2YRu at its relaxed geometry.

Output
energy of formation = 0.090 eV per atom

extended XYZ file:
```
8
Lattice="3.899 0.000 0.000 0.000 3.899 0.000 0.000 0.000 9.021" Properties=species:S:1:pos:R:3 pbc="T T T"
Li 0.000 1.949 2.255
Li 0.000 1.949 6.766
Li 1.949 0.000 2.255
Li 1.949 0.000 6.766
Y 0.000 0.000 0.000
Y 1.949 1.949 4.511
Ru 0.000 0.000 4.511
Ru 1.949 1.949 0.000
```

***

Entry 5:
## LiY3Ru (GGA-PBEsol)

Data for crystalline LiY3Ru at its relaxed geometry.

Output
energy of formation = -0.005 eV per atom

extended XYZ file:
```
5
Lattice="5.322 0.000 0.000 0.000 5.322 0.000 0.000 0.000 5.322" Properties=species:S:1:pos:R:3 pbc="T T T"
Li 0.000 0.000 0.000
Y 0.000 2.661 2.661
Y 2.661 0.000 2.661
Y 2.661 2.661 0.000
Ru 2.661 2.661 2.661
```

***

Entry 6:
## LiZn2Ru (GGA-PBEsol)

Data for crystalline LiZn2Ru at its relaxed geometry.

Output
energy of formation = -0.163 eV per atom

extended XYZ file:
```
4
Lattice="4.138 0.000 0.000 0.000 4.138 0.000 0.000 0.000 3.043" Properties=species:S:1:pos:R:3 pbc="T T T"
Li 0.000 0.000 0.000
Zn 0.000 2.069 1.521
Zn 2.069 0.000 1.521
Ru 2.069 2.069 0.000
```

***

Entry 7:
## LiZrRu2 (GGA-PBEsol)

Data for crystalline LiZrRu2 at its relaxed geometry.

Output
energy of formation = 0.077 eV per atom

extended XYZ file:
```
4
Lattice="2.831 0.000 0.000 0.000 3.907 0.000 0.000 0.000 5.365" Properties=species:S:1:pos:R:3 pbc="T T T"
Li 0.000 0.000 0.000
Zr 1.416 1.953 3.918
Ru 0.000 0.000 2.431
Ru 1.416 1.953 1.298
```

***

Entry 8:
## LiZr2Ru (GGA-PBEsol)

Data for crystalline LiZr2Ru at its relaxed geometry.

Output
energy of formation = -0.207 eV per atom

extended XYZ file:
```
4
Lattice="4.586 0.000 0.000 0.000 4.586 0.000 0.000 0.000 3.256" Properties=species:S:1:pos:R:3 pbc="T T T"
Li 0.000 0.000 0.000
Zr 0.000 2.293 1.628
Zr 2.293 0.000 1.628
Ru 2.293 2.293 0.000
```

***

Entry 9:
## Li2ZrRu (GGA-PBEsol)

Data for crystalline Li2ZrRu at its relaxed geometry.

Output
energy of formation = -0.006 eV per atom

extended XYZ file:
```
4
Lattice="3.230 0.000 0.000 0.000 3.230 0.000 0.000 0.000 6.624" Properties=species:S:1:pos:R:3 pbc="T T T"
Li 0.000 0.000 0.000
Li 1.615 1.615 1.483
Zr 1.615 1.615 4.321
Ru 0.000 0.000 3.014
```

***

Entry 10:
## Li2ZrRu (GGA-PBEsol)

Data for crystalline Li2ZrRu at its relaxed geometry.

Output
energy of formation = 0.146 eV per atom

extended XYZ file:
```
16
Lattice="3.627 0.000 0.000 0.000 3.627 0.000 0.000 0.000 20.752" Properties=species:S:1:pos:R:3 pbc="T T T"
Li 0.787 0.907 2.594
Li 0.907 2.601 7.782
Li 0.907 2.840 18.158
Li 1.026 0.907 12.970
Li 2.601 2.720 12.970
Li 2.720 0.787 18.158
Li 2.720 1.026 7.782
Li 2.840 2.720 2.594
Zr 0.000 0.000 10.376
Zr 0.000 1.814 15.564
Zr 1.814 0.000 5.188
Zr 1.814 1.814 0.000
Ru 0.000 0.000 0.000
Ru 0.000 1.814 5.188
Ru 1.814 0.000 15.564
Ru 1.814 1.814 10.376
```

***

Entry 11:
## LiZr2Ru (GGA-PBEsol)

Data for crystalline LiZr2Ru at its relaxed geometry.

Output
energy of formation = 0.132 eV per atom

extended XYZ file:
```
8
Lattice="3.232 0.000 0.000 0.000 4.922 0.000 0.000 0.000 9.414" Properties=species:S:1:pos:R:3 pbc="T T T"
Li 0.000 0.000 0.000
Li 1.616 2.461 0.000
Zr 0.000 0.000 5.418
Zr 0.000 2.461 2.728
Zr 1.616 0.000 2.728
Zr 1.616 2.461 5.418
Ru 0.000 2.461 7.351
Ru 1.616 0.000 7.351
```

***

Entry 12:
## Li2ZrRu (GGA-PBEsol)

Data for crystalline Li2ZrRu at its relaxed geometry.

Output
energy of formation = 0.242 eV per atom

extended XYZ file:
```
4
Lattice="3.385 0.000 0.000 0.000 3.385 0.000 0.000 0.000 5.117" Properties=species:S:1:pos:R:3 pbc="T T T"
Li 0.000 0.000 1.058
Li 0.000 0.000 4.059
Zr 1.692 1.692 2.558
Ru 1.692 1.692 0.000
```

***

Entry 13:
## Li2S (GGA-PBEsol)

Data for crystalline Li2S at its relaxed geometry.

Output
uncorrected formation energy = -3.8 eV/f.u.

extended XYZ file:
```
33
Lattice="1.974 1.140 36.409 -1.974 1.140 36.409 0.000 -2.279 36.409" Properties=species:S:1:pos:R:3 pbc="T T T"
Li 0.000 0.000 0.000
Li 0.000 0.000 2.222
Li 0.000 0.000 12.079
Li 0.000 0.000 16.997
Li 0.000 0.000 21.942
Li 0.000 0.000 26.855
Li 0.000 0.000 31.809
Li 0.000 0.000 39.691
Li 0.000 0.000 41.967
Li 0.000 0.000 46.776
Li 0.000 0.000 51.779
Li 0.000 0.000 56.693
Li 0.000 0.000 61.637
Li 0.000 0.000 66.547
Li 0.000 0.000 71.527
Li 0.000 0.000 79.460
Li 0.000 0.000 81.716
Li 0.000 0.000 86.533
Li 0.000 0.000 91.475
Li 0.000 0.000 96.388
Li 0.000 0.000 101.329
Li 0.000 0.000 106.210
S 0.000 0.000 4.560
S 0.000 0.000 14.559
S 0.000 0.000 24.418
S 0.000 0.000 34.307
S 0.000 0.000 44.300
S 0.000 0.000 54.255
S 0.000 0.000 64.111
S 0.000 0.000 73.998
S 0.000 0.000 84.101
S 0.000 0.000 93.950
S 0.000 0.000 103.800
```

***

Entry 14:
## Li2S (GGA-PBEsol)

Data for crystalline Li2S at its relaxed geometry.

Output
uncorrected formation energy = -4.1 eV/f.u.

extended XYZ file:
```
12
Lattice="5.653 0.000 0.000 0.000 5.653 0.000 0.000 0.000 5.653" Properties=species:S:1:pos:R:3 pbc="T T T"
Li 1.413 1.413 1.413
Li 1.413 1.413 4.240
Li 1.413 4.240 1.413
Li 1.413 4.240 4.240
Li 4.240 1.413 1.413
Li 4.240 1.413 4.240
Li 4.240 4.240 1.413
Li 4.240 4.240 4.240
S 0.000 0.000 0.000
S 0.000 2.827 2.827
S 2.827 0.000 2.827
S 2.827 2.827 0.000
```

***

Entry 15:
## Li2S (GGA-PBEsol)

Data for crystalline Li2S at its relaxed geometry.

Output
uncorrected formation energy = -3.9 eV/f.u.

extended XYZ file:
```
12
Lattice="6.223 0.000 0.000 0.000 3.766 0.000 0.000 0.000 7.173" Properties=species:S:1:pos:R:3 pbc="T T T"
Li 0.144 0.941 1.205
Li 0.886 0.941 4.095
Li 2.226 2.824 0.508
Li 2.968 2.824 4.792
Li 3.255 0.941 2.382
Li 3.997 0.941 6.665
Li 5.337 2.824 3.079
Li 6.079 2.824 5.968
S 1.524 2.824 2.787
S 1.587 0.941 6.374
S 4.636 2.824 0.799
S 4.698 0.941 4.386
```

***

Entry 16:
## Li7Sb2S (GGA-PBEsol)

Data for crystalline Li7Sb2S at its relaxed geometry.

Output
uncorrected formation energy = -7.8 eV/f.u.

extended XYZ file:
```
40
Lattice="5.727 0.000 0.000 0.000 13.706 0.000 -0.889 0.000 9.121" Properties=species:S:1:pos:R:3 pbc="T T T"
Li -0.014 1.503 1.345
Li -0.458 5.351 5.905
Li -0.029 3.297 3.703
Li -0.474 3.557 8.263
Li 0.867 7.510 6.376
Li 1.311 13.049 1.816
Li 1.642 7.574 0.246
Li 1.198 12.985 4.806
Li 1.247 2.058 5.793
Li 1.691 4.795 1.233
Li 2.033 10.164 5.503
Li 2.478 10.396 0.942
Li 2.419 8.572 3.004
Li 1.975 11.987 7.565
Li 2.863 1.719 1.556
Li 2.419 5.134 6.116
Li 2.360 3.310 8.178
Li 2.805 3.543 3.618
Li 3.147 8.911 7.888
Li 3.591 11.648 3.328
Li 3.640 0.721 4.315
Li 3.196 6.132 8.875
Li 3.527 0.657 7.305
Li 3.971 6.196 2.745
Li 5.312 10.150 0.858
Li 4.867 10.410 5.418
Li 5.296 8.356 3.216
Li 4.852 12.204 7.776
Sb 0.295 9.775 7.739
Sb 0.739 10.784 3.179
Sb 0.884 0.755 8.318
Sb 1.329 6.098 3.757
Sb 3.509 7.608 5.363
Sb 3.954 12.951 0.803
Sb 4.099 2.922 5.942
Sb 4.543 3.931 1.381
S 1.401 1.335 3.431
S 0.956 5.518 7.992
S 3.882 8.188 1.129
S 3.437 12.371 5.690
```

***

Entry 17:
## Li3SbS4 (GGA-PBEsol)

Data for crystalline Li3SbS4 at its relaxed geometry.

Output
uncorrected formation energy = -6.6 eV/f.u.

extended XYZ file:
```
16
Lattice="6.391 0.000 0.000 0.000 7.385 0.000 -2.105 0.000 5.926" Properties=species:S:1:pos:R:3 pbc="T T T"
Li -0.526 0.836 1.481
Li -1.579 6.549 4.444
Li 1.617 0.860 4.444
Li 2.669 2.624 1.481
Li 1.617 4.760 4.444
Li 2.669 6.524 1.481
Sb -1.579 2.671 4.444
Sb -0.526 4.713 1.481
S 0.458 2.866 2.969
S 1.511 4.518 0.006
S -0.451 0.997 5.820
S 0.602 6.388 2.857
S 3.684 0.997 3.069
S 4.737 6.388 0.106
S 2.775 2.866 5.919
S 3.827 4.518 2.956
```

***

Entry 18:
## Li3SbS3 (GGA-PBEsol)

Data for crystalline Li3SbS3 at its relaxed geometry.

Output
uncorrected formation energy = -6.5 eV/f.u.

extended XYZ file:
```
28
Lattice="4.072 0.000 0.000 0.000 11.879 0.000 -2.765 0.000 11.399" Properties=species:S:1:pos:R:3 pbc="T T T"
Li -0.023 2.704 0.219
Li -1.405 3.236 5.918
Li 0.096 0.487 4.499
Li -1.287 5.453 10.198
Li 0.310 6.441 4.335
Li -1.073 11.378 10.035
Li 2.379 0.502 1.364
Li 0.997 5.438 7.064
Li 2.593 6.427 1.201
Li 1.211 11.392 6.900
Li 2.712 8.644 5.480
Li 1.329 9.175 11.180
Sb -0.388 8.341 8.645
Sb 0.995 9.478 2.946
Sb 0.311 2.401 8.453
Sb 1.694 3.538 2.754
S -0.849 0.990 6.791
S 0.534 4.950 1.091
S 0.393 1.473 2.314
S -0.990 4.467 8.013
S -0.776 1.823 10.588
S 0.607 4.116 4.888
S 0.700 7.763 6.511
S 2.082 10.056 0.811
S 2.296 7.412 3.385
S 0.914 10.407 9.085
S 0.773 6.929 10.308
S 2.155 10.890 4.608
```

***

Entry 19:
## Li7Sb2S2 (GGA-PBEsol)

Data for crystalline Li7Sb2S2 at its relaxed geometry.

Output
uncorrected formation energy = -9.5 eV/f.u.

extended XYZ file:
```
44
Lattice="12.939 0.000 0.000 0.000 8.628 0.000 0.000 0.000 7.420" Properties=species:S:1:pos:R:3 pbc="T T T"
Li 0.577 0.069 1.270
Li 0.577 4.245 1.270
Li 1.109 6.471 5.615
Li 1.464 2.157 6.054
Li 2.367 6.471 0.399
Li 2.667 4.540 4.323
Li 2.667 8.401 4.323
Li 3.803 0.226 0.613
Li 3.803 4.088 0.613
Li 4.103 2.157 4.108
Li 5.005 6.471 2.344
Li 5.360 2.157 1.905
Li 5.892 4.383 4.980
Li 5.892 8.559 4.980
Li 7.046 0.069 2.440
Li 7.046 4.245 2.440
Li 7.578 6.471 5.515
Li 7.933 2.157 5.075
Li 8.836 6.471 3.311
Li 9.136 4.540 6.807
Li 9.136 8.401 6.807
Li 10.272 0.226 3.097
Li 10.272 4.088 3.097
Li 10.572 2.157 7.021
Li 11.475 6.471 1.365
Li 11.829 2.157 1.805
Li 12.362 4.383 6.150
Li 12.362 8.559 6.150
Sb 1.121 6.471 2.927
Sb 1.318 2.157 3.171
Sb 5.151 6.471 6.881
Sb 5.348 2.157 6.637
Sb 7.590 6.471 0.783
Sb 7.787 2.157 0.539
Sb 11.621 6.471 4.249
Sb 11.817 2.157 4.493
S 1.814 4.465 6.657
S 1.814 8.477 6.657
S 4.655 0.151 2.947
S 4.655 4.163 2.947
S 8.283 4.465 4.473
S 8.283 8.477 4.473
S 11.125 0.151 0.763
S 11.125 4.163 0.763
```

***

Entry 20:
## Li5SbS4 (GGA-PBEsol)

Data for crystalline Li5SbS4 at its relaxed geometry.

Output
uncorrected formation energy = -9.9 eV/f.u.

extended XYZ file:
```
20
Lattice="7.610 0.000 0.000 0.000 9.116 0.000 0.000 0.000 5.436" Properties=species:S:1:pos:R:3 pbc="T T T"
Li 0.230 0.354 1.357
Li 0.230 4.204 1.357
Li 1.903 6.837 1.139
Li 3.575 0.354 1.357
Li 3.575 4.204 1.357
Li 4.035 4.912 4.079
Li 4.035 8.762 4.079
Li 5.708 2.279 4.297
Li 7.381 4.912 4.079
Li 7.381 8.762 4.079
Sb 1.903 2.279 4.614
Sb 5.708 6.837 0.822
S 0.096 2.279 2.937
S 1.903 4.932 5.165
S 1.903 8.742 5.165
S 3.709 2.279 2.937
S 3.901 6.837 2.498
S 5.708 0.374 0.271
S 5.708 4.184 0.271
S 7.514 6.837 2.498
```

***

Going through the records in order, we get total magnetic moment values of 0.0 0.0 0.0 0.0 0.0 0.0 0.0 0.0 0.0 0.0 0.0 0.0 0.0 0.0 0.0 0.0 0.0 0.0 0.0 0.0 μB/cell.